Material: BaMg2BiF
Method: DFT, PBE
State: optimized geometry

## Properties
Symmetry ... P4/mmm (123)
Uncorrected formation energy ... -0.469 eV/atom
Total moment ... 0.00 μB/f.u.
Crystal system ... tetragonal

a = 5.9333 Å, b = 5.9333 Å, c = 4.8410 Å
α = 90.00°, β = 90.00°, γ = 90.00°
Sites, in units of the cell vectors:
Ba  0.0000  0.0000  0.0000
Mg  0.0000  0.5000  0.5000
Mg  0.5000  0.0000  0.5000
Bi  0.5000  0.5000  0.5000
F  0.5000  0.5000  0.0000